Entry 1:
{
  "formula": "NiSbTe2N",
  "functional": "PBE-GGA",
  "state": "optimized geometry",
  "lattice_angstrom": [[-4.4246, 1.2736, -0.7110], [-1.0753, -4.3824, -1.1586], [-0.9994, -0.9494, 4.5188]],
  "species": ["N", "Te", "Ni", "Sb", "Te"],
  "frac_coords": [[0.0000, 0.0000, 0.0000], [0.5000, 0.0000, 0.0000], [0.5000, 0.5000, 0.5000], [0.0000, 0.0000, 0.5000], [0.0000, 0.5000, 0.0000]],
  "sg": "No. 123",
  "mass_density_g_cm3": 7.28,
  "formation_energy_uncorrected_mev_per_atom": 918,
  "total_energy_ev_per_atom": -3.98
}



Entry 2:
{
  "formula": "NiSbTe2N",
  "functional": "PBE-GGA",
  "state": "optimized geometry",
  "lattice_angstrom": [[4.9659, 0.0000, 0.0000], [0.0000, 4.9659, 0.0000], [0.0000, 0.0000, 4.8591]],
  "species": ["Sb", "N", "Te", "Ni", "Te"],
  "frac_coords": [[0.0000, 0.0000, 0.5000], [0.5000, 0.5000, 0.5000], [0.0000, 0.5000, 0.0000], [0.0000, 0.0000, 0.0000], [0.5000, 0.0000, 0.0000]],
  "sg": "No. 123",
  "mass_density_g_cm3": 6.23,
  "formation_energy_uncorrected_mev_per_atom": 1393,
  "total_energy_ev_per_atom": -3.51
}



Entry 3:
{
  "formula": "VNiSb2N",
  "functional": "PBE-GGA",
  "state": "optimized geometry",
  "lattice_angstrom": [[4.7610, 0.0000, 0.0000], [0.0000, 3.8008, 0.0000], [0.0000, 0.0000, 4.7610]],
  "species": ["V", "Ni", "N", "Sb", "Sb"],
  "frac_coords": [[0.0000, 0.5000, 0.0000], [0.5000, 0.5000, 0.5000], [0.0000, 0.0000, 0.0000], [0.0000, 0.0000, 0.5000], [0.5000, 0.0000, 0.0000]],
  "sg": "No. 123",
  "mass_density_g_cm3": 7.08,
  "formation_energy_uncorrected_mev_per_atom": 350,
  "total_energy_ev_per_atom": -5.94
}



Entry 4:
{
  "formula": "ZnNi2SbN",
  "functional": "PBE-GGA",
  "state": "optimized geometry",
  "lattice_angstrom": [[4.7133, 0.0000, 0.0000], [0.0000, 5.1260, 0.0000], [0.0000, 0.0000, 4.7133]],
  "species": ["N", "Ni", "Zn", "Ni", "Sb"],
  "frac_coords": [[0.5000, 0.5000, 0.5000], [0.0000, 0.0000, 0.5000], [0.0000, 0.5000, 0.0000], [0.5000, 0.0000, 0.0000], [0.0000, 0.0000, 0.0000]],
  "sg": "No. 123",
  "mass_density_g_cm3": 4.65,
  "formation_energy_uncorrected_mev_per_atom": 1702,
  "total_energy_ev_per_atom": -3.35
}



Entry 5:
{
  "formula": "ZnNi2SbN",
  "functional": "PBE-GGA",
  "state": "optimized geometry",
  "lattice_angstrom": [[4.6077, 0.0000, 0.0000], [0.0000, 3.5651, 0.0000], [0.0000, 0.0000, 4.6077]],
  "species": ["Ni", "Ni", "Zn", "Sb", "N"],
  "frac_coords": [[0.0000, 0.0000, 0.5000], [0.5000, 0.0000, 0.0000], [0.0000, 0.0000, 0.0000], [0.5000, 0.5000, 0.5000], [0.0000, 0.5000, 0.0000]],
  "sg": "No. 123",
  "mass_density_g_cm3": 6.99,
  "formation_energy_uncorrected_mev_per_atom": 930,
  "total_energy_ev_per_atom": -4.13
}



Entry 6:
{
  "formula": "ZrNi2SbN",
  "functional": "PBE-GGA",
  "state": "optimized geometry",
  "lattice_angstrom": [[-2.8905, 2.5417, -0.7849], [-2.7853, -2.1555, 3.2771], [1.3797, 2.4234, 2.7667]],
  "species": ["Ni", "Ni", "N", "Zr", "Sb"],
  "frac_coords": [[0.5000, 0.0000, 0.0000], [0.0000, 0.0000, 0.5000], [0.0000, 0.0000, 0.0000], [0.5000, 0.5000, 0.5000], [0.0000, 0.5000, 0.0000]],
  "sg": "No. 123",
  "mass_density_g_cm3": 7.70,
  "formation_energy_uncorrected_mev_per_atom": 87,
  "total_energy_ev_per_atom": -6.42
}



Entry 7:
{
  "formula": "ScNi3N",
  "functional": "PBE-GGA",
  "state": "optimized geometry",
  "lattice_angstrom": [[-0.0513, 4.2743, 1.1280], [-4.3302, 0.1785, -0.8733], [-0.8898, -1.1150, 4.1845]],
  "species": ["Ni", "Ni", "N", "Sc", "Ni"],
  "frac_coords": [[0.0000, 0.5000, 0.0000], [0.5000, 0.0000, 0.0000], [0.5000, 0.5000, 0.5000], [0.0000, 0.0000, 0.0000], [0.0000, 0.0000, 0.5000]],
  "sg": "No. 221",
  "mass_density_g_cm3": 4.52,
  "formation_energy_uncorrected_mev_per_atom": 2152,
  "total_energy_ev_per_atom": -4.25
}



Entry 8:
{
  "formula": "Sc2NiN",
  "functional": "PBE-GGA",
  "state": "optimized geometry",
  "lattice_angstrom": [[-5.1058, -1.9003, 5.2007], [-3.1787, -0.0777, 6.8277], [-5.4239, 1.1931, 5.0879]],
  "species": ["Sc", "N", "Sc", "Ni"],
  "frac_coords": [[0.1101, 0.1101, 0.1101], [0.5000, 0.5000, 0.5000], [0.8899, 0.8899, 0.8899], [0.0000, 0.0000, 0.0000]],
  "sg": "No. 166",
  "mass_density_g_cm3": 4.40,
  "formation_energy_uncorrected_mev_per_atom": -673,
  "total_energy_ev_per_atom": -7.37
}



Entry 9:
{
  "formula": "ScNi3N",
  "functional": "PBE-GGA",
  "state": "optimized geometry",
  "lattice_angstrom": [[3.8652, 0.0000, 0.0000], [0.0000, 3.8652, 0.0000], [0.0000, 0.0000, 3.8652]],
  "species": ["Ni", "Ni", "N", "Sc", "Ni"],
  "frac_coords": [[0.5000, 0.0000, 0.0000], [0.0000, 0.5000, 0.0000], [0.0000, 0.0000, 0.0000], [0.5000, 0.5000, 0.5000], [0.0000, 0.0000, 0.5000]],
  "sg": "No. 221",
  "mass_density_g_cm3": 6.76,
  "formation_energy_uncorrected_mev_per_atom": -299,
  "total_energy_ev_per_atom": -6.70
}



Entry 10:
{
  "formula": "Sc3NiN",
  "functional": "PBE-GGA",
  "state": "optimized geometry",
  "lattice_angstrom": [[-2.6951, 2.5369, 2.2869], [-2.2313, -3.5133, 1.2678], [2.5859, -0.3875, 3.4774]],
  "species": ["Sc", "N", "Sc", "Sc", "Ni"],
  "frac_coords": [[0.0000, 0.5000, 0.0000], [0.0000, 0.0000, 0.0000], [0.0000, 0.0000, 0.5000], [0.5000, 0.0000, 0.0000], [0.5000, 0.5000, 0.5000]],
  "sg": "No. 221",
  "mass_density_g_cm3": 4.19,
  "formation_energy_uncorrected_mev_per_atom": -835,
  "total_energy_ev_per_atom": -7.45
}



Entry 11:
{
  "formula": "ScNiN3",
  "functional": "PBE-GGA",
  "state": "optimized geometry",
  "lattice_angstrom": [[-2.4575, 2.7389, -1.6711], [-0.3501, -2.3214, -3.2897], [-3.1893, -1.8556, 1.6488]],
  "species": ["N", "Sc", "Ni", "N", "N"],
  "frac_coords": [[0.5000, 0.0000, 0.0000], [0.0000, 0.0000, 0.0000], [0.5000, 0.5000, 0.5000], [0.0000, 0.5000, 0.0000], [0.0000, 0.0000, 0.5000]],
  "sg": "No. 221",
  "mass_density_g_cm3": 3.66,
  "formation_energy_uncorrected_mev_per_atom": 1559,
  "total_energy_ev_per_atom": -5.86
}



Entry 12:
{
  "formula": "ScNiN3",
  "functional": "PBE-GGA",
  "state": "optimized geometry",
  "lattice_angstrom": [[-2.8454, -2.2047, 0.6821], [1.8097, -2.8036, -1.5123], [1.4321, -0.8376, 3.2665]],
  "species": ["N", "Sc", "Ni", "N", "N"],
  "frac_coords": [[0.0000, 0.0000, 0.5000], [0.5000, 0.5000, 0.5000], [0.0000, 0.0000, 0.0000], [0.0000, 0.5000, 0.0000], [0.5000, 0.0000, 0.0000]],
  "sg": "No. 221",
  "mass_density_g_cm3": 4.92,
  "formation_energy_uncorrected_mev_per_atom": 546,
  "total_energy_ev_per_atom": -6.87
}



Entry 13:
{
  "formula": "Sc2Ni2N",
  "functional": "PBE-GGA",
  "state": "optimized geometry",
  "lattice_angstrom": [[5.0146, 0.0000, 0.0000], [0.0000, 5.0146, 0.0000], [2.5073, 2.5073, 2.9773]],
  "species": ["Sc", "Ni", "Ni", "Sc", "N"],
  "frac_coords": [[0.2500, 0.7500, 0.5000], [0.3033, 0.3033, 0.3933], [0.6967, 0.6967, 0.6067], [0.7500, 0.2500, 0.5000], [0.0000, 0.0000, 0.0000]],
  "sg": "No. 139",
  "mass_density_g_cm3": 4.91,
  "formation_energy_uncorrected_mev_per_atom": 49,
  "total_energy_ev_per_atom": -6.46
}



Entry 14:
{
  "formula": "Sc2Ni2N",
  "functional": "PBE-GGA",
  "state": "optimized geometry",
  "lattice_angstrom": [[6.2554, 0.0000, 0.0000], [0.0000, 6.2554, 0.0000], [0.0000, 0.0000, 3.5498]],
  "species": ["Ni", "Ni", "N", "Sc", "Sc", "N", "Ni", "Sc", "Ni", "Sc"],
  "frac_coords": [[0.6309, 0.1309, 0.0000], [0.8691, 0.6309, 0.0000], [0.0000, 0.0000, 0.0000], [0.1799, 0.6799, 0.5000], [0.3201, 0.1799, 0.5000], [0.5000, 0.5000, 0.0000], [0.3691, 0.8691, 0.0000], [0.8201, 0.3201, 0.5000], [0.1309, 0.3691, 0.0000], [0.6799, 0.8201, 0.5000]],
  "sg": "No. 127",
  "mass_density_g_cm3": 5.29,
  "formation_energy_uncorrected_mev_per_atom": 102,
  "total_energy_ev_per_atom": -6.41
}